(1)
8
Lattice="5.5308 -0.0305 0.0044 -0.0197 5.5308 0.0044 2.7518 2.7464 5.5369" Properties=species:S:1:pos:R:3 comment="LiSbS2 GGA-PBE relaxed" e_tot_ev_per_atom=-4.248 spacegroup="C2/c (15)" pbc="T T T"
Li 2.7265 6.9069 4.1571
Li 5.5363 1.3399 1.3886
Sb 2.8425 4.0389 1.3886
Sb 5.4203 4.2079 4.1571
S 5.3674 4.1667 1.3822
S 2.7098 1.5142 1.3951
S 2.8954 4.0801 4.1635
S 5.5531 6.7326 4.1506

=====

(2)
9
Lattice="4.4281 0.0000 0.0000 0.0000 6.8528 0.0000 0.0000 -3.4264 5.9347" Properties=species:S:1:pos:R:3 comment="HfZrRu GGA-PBE relaxed" formation_enthalpy_0k_mev_per_atom=-294 spacegroup="P-62m (189)" pbc="T T T"
Ru 2.2140 3.4264 1.9782
Ru 2.2140 0.0000 3.9565
Ru 0.0000 0.0000 0.0000
Hf 0.0000 1.9933 3.4525
Hf 0.0000 -1.4331 2.4822
Hf 0.0000 2.8662 0.0000
Zr 2.2140 -2.5457 4.4093
Zr 2.2140 5.0914 0.0000
Zr 2.2140 0.8807 1.5254

=====

(3)
5
Lattice="-0.6292 5.0366 -3.7839 -4.6428 -2.9410 -3.1426 -3.7197 2.1513 3.4820" Properties=species:S:1:pos:R:3 comment="KBa2LiPd GGA-PBE relaxed" formation_enthalpy_0k_mev_per_atom=-125 spacegroup="P4/mmm (123)" pbc="T T T"
K -4.4958 2.1234 -1.7222
Ba -2.3214 -1.4705 -1.5713
Ba -0.3146 2.5183 -1.8919
Pd 0.0000 0.0000 0.0000
Li -1.8598 1.0756 1.7410

=====

(4)
6
Lattice="0.0000 4.3037 4.3037 4.3037 0.0000 4.3037 4.3037 4.3037 0.0000" Properties=species:S:1:pos:R:3 comment="CdSb4Os GGA-PBE relaxed" e_tot_ev_per_atom=-3.647 spacegroup="F-43m (216)" pbc="T T T"
Cd 6.4556 6.4556 6.4556
Sb 3.2254 5.3820 5.3820
Sb 5.3820 5.3820 3.2254
Sb 5.3820 3.2254 5.3820
Sb 3.2254 3.2254 3.2254
Os 0.0000 0.0000 0.0000

=====

(5)
5
Lattice="5.3447 0.0000 0.0000 0.0000 4.4267 0.0000 0.0000 0.0000 5.3447" Properties=species:S:1:pos:R:3 comment="Y2TiPIr GGA-PBE relaxed" formation_enthalpy_0k_mev_per_atom=470 spacegroup="P4/mmm (123)" pbc="T T T"
Y 0.0000 0.0000 2.6723
Y 2.6723 0.0000 0.0000
P 2.6723 2.2134 2.6723
Ir 0.0000 2.2134 0.0000
Ti 0.0000 0.0000 0.0000

=====

(6)
12
Lattice="4.5350 0.0000 0.0000 0.0000 9.7695 0.1477 0.0000 -2.4780 10.7060" Properties=species:S:1:pos:R:3 comment="KSmTe3Pb GGA-PBE relaxed" e_tot_ev_per_atom=-4.154 spacegroup="P2_1/m (11)" pbc="T T T"
K 1.1338 1.1885 2.1486
K 3.4013 6.1030 8.7050
Sm 1.1338 5.8585 1.7464
Sm 3.4013 1.4330 9.1073
Te 3.4013 8.1226 1.9726
Te 1.1338 -0.8310 8.8811
Te 1.1338 5.2962 4.8762
Te 3.4013 1.9953 5.9774
Te 3.4013 3.7291 1.5298
Te 1.1338 3.5624 9.3239
Pb 1.1338 -0.0260 5.9746
Pb 3.4013 7.3176 4.8791

=====

(7)
4
Lattice="-0.6721 4.4214 -2.2691 -4.5607 2.0810 -0.1360 -0.9695 4.0959 2.7263" Properties=species:S:1:pos:R:3 comment="CaErMgIr GGA-PBE relaxed" formation_enthalpy_0k_mev_per_atom=-291 spacegroup="F-43m (216)" pbc="T T T"
Ca -1.5506 2.6496 0.0803
Ir 0.0000 0.0000 0.0000
Mg -3.1011 5.2991 0.1606
Er -4.6517 7.9487 0.2409

=====

(8)
5
Lattice="5.1571 0.0000 0.0000 0.0000 5.1571 0.0000 0.0000 0.0000 5.1571" Properties=species:S:1:pos:R:3 comment="ZnTcBr3 GGA-PBE relaxed" e_tot_ev_per_atom=-2.894 spacegroup="Pm-3m (221)" pbc="T T T"
Zn 0.0000 0.0000 0.0000
Tc 2.5785 2.5785 2.5785
Br 0.0000 2.5785 0.0000
Br 0.0000 0.0000 2.5785
Br 2.5785 0.0000 0.0000

=====

(9)
6
Lattice="-3.0190 4.3022 0.2018 -5.2176 -0.4683 0.4701 -2.3661 1.3436 4.5012" Properties=species:S:1:pos:R:3 comment="GdVTc4 GGA-PBE relaxed" formation_enthalpy_0k_mev_per_atom=138 spacegroup="F-43m (216)" pbc="T T T"
Gd 0.0000 0.0000 0.0000
Tc -5.4432 2.5642 0.9883
Tc -4.0225 3.4670 2.9967
Tc -6.6220 3.2336 3.2309
Tc -5.1179 1.0902 3.1303
V -2.6507 1.2944 1.2933

=====

(10)
15
Lattice="-6.2642 4.0321 3.7500 -0.9903 -2.9844 -7.7267 0.4386 -5.3879 6.5273" Properties=species:S:1:pos:R:3 comment="Na3U3InSe8 GGA-PBE relaxed" e_tot_ev_per_atom=-5.634 spacegroup="R-3m (166)" pbc="T T T"
Na 0.0000 0.0000 0.0000
Na -0.4951 -1.4922 -3.8633
Na -3.6273 0.5239 -1.9884
U -2.9128 -0.6779 5.1386
U -3.4080 -2.1701 1.2753
U -0.2758 -4.1861 -0.5997
In 0.2193 -2.6939 3.2636
Se -1.9899 -1.9284 -1.2518
Se -4.8261 -2.4117 3.8023
Se -5.1206 0.0396 0.6743
Se -1.6953 -4.3797 1.8762
Se -4.6343 1.5115 4.4872
Se -2.1816 -5.8516 -1.9366
Se -1.5422 -0.4791 2.6354
Se -5.2737 -3.8611 -0.0849

=====

(11)
4
Lattice="-2.5436 -1.2965 2.1929 -0.2424 -2.9617 -2.0321 5.5818 -3.4853 4.4140" Properties=species:S:1:pos:R:3 comment="Th2CdRh GGA-PBE relaxed" formation_enthalpy_0k_mev_per_atom=-409 spacegroup="P4/mmm (123)" pbc="T T T"
Rh -1.3930 -2.1291 0.0804
Th 4.3890 -2.7405 3.4708
Th 1.1928 -0.7448 0.9432
Cd 1.3979 -3.8717 2.2874

=====

(12)
5
Lattice="-0.1359 1.0600 4.5611 4.0183 -2.3166 0.6581 2.5564 4.1800 -0.8953" Properties=species:S:1:pos:R:3 comment="As2RhSeN GGA-PBE relaxed" e_tot_ev_per_atom=-4.122 spacegroup="P4/mmm (123)" pbc="T T T"
As 2.0091 -1.1583 0.3290
As -0.0680 0.5300 2.2806
Rh 0.0000 0.0000 0.0000
Se 1.2782 2.0900 -0.4476
N 3.2194 1.4617 2.1620

=====

(13)
3
Lattice="6.5613 1.0491 -0.3881 3.8910 5.3862 0.3881 -5.0214 -3.5502 2.5463" Properties=species:S:1:pos:R:3 comment="BaAlZn GGA-PBE relaxed" formation_enthalpy_0k_mev_per_atom=4 spacegroup="I4mm (107)" pbc="T T T"
Zn 6.5634 4.0410 0.0000
Ba 3.4652 2.1335 0.0000
Al 0.4236 0.2608 0.0000

=====

(14)
4
Lattice="-1.6033 0.3526 -1.4927 -1.2312 -3.1927 0.5683 -2.8206 1.6984 3.4307" Properties=species:S:1:pos:R:3 comment="LiBe3 GGA-PBE relaxed" formation_enthalpy_0k_mev_per_atom=161 spacegroup="Pmmm (47)" pbc="T T T"
Be -3.4640 -0.1876 2.0272
Be -1.4103 0.8492 1.7153
Be -2.1911 -0.9541 0.4790
Li 0.0000 0.0000 0.0000

=====

(15)
6
Lattice="-3.0477 2.7725 -1.9264 -1.7065 -5.2113 -4.8009 -5.1568 -2.5658 4.4657" Properties=species:S:1:pos:R:3 comment="PmPaTe4 GGA-PBE relaxed" e_tot_ev_per_atom=-5.400 spacegroup="Cmmm (65)" pbc="T T T"
Pm -3.4316 -3.8885 -0.1676
Pa -1.5238 1.3862 -0.9632
Te -5.6758 -1.9502 0.8035
Te -5.5485 -6.2873 -0.2712
Te -4.3624 1.2827 -1.9904
Te -4.2351 -3.0544 -3.0651

=====

(16)
4
Lattice="3.1666 0.0458 0.0000 -0.0611 3.1663 0.0000 0.0000 0.0000 8.0042" Properties=species:S:1:pos:R:3 comment="ZrAg2Cl GGA-PBE relaxed" e_tot_ev_per_atom=-4.165 spacegroup="Cmmm (65)" pbc="T T T"
Ag 0.0000 0.0000 0.0561
Ag 0.0000 0.0000 3.9460
Cl 1.5527 1.6061 2.0011
Zr 1.5527 1.6061 6.0032

=====

(17)
9
Lattice="6.4306 -0.1447 -0.2283 -2.7156 5.8309 0.2283 -2.7156 -2.2825 5.3705" Properties=species:S:1:pos:R:3 comment="Rb2RhCl2F4 GGA-PBE relaxed" e_tot_ev_per_atom=-4.133 spacegroup="I4/mmm (139)" pbc="T T T"
Rb 0.4997 3.7302 1.3997
Rb 0.4997 -0.3265 3.9708
Rh 0.0000 0.0000 0.0000
Cl -3.9519 2.5819 4.0738
Cl -1.4793 0.9665 1.5250
F -2.7156 4.1771 1.2765
F -0.5151 2.7394 4.3223
F -2.7156 -0.6286 4.3223
F 1.5145 0.6643 1.0482

=====

(18)
12
Lattice="-0.1573 5.1409 -1.5890 0.0227 -2.3130 -7.4854 -7.9864 -2.7859 0.8366" Properties=species:S:1:pos:R:3 comment="Ca6Cd5In GGA-PBE relaxed" formation_enthalpy_0k_mev_per_atom=-384 spacegroup="P2/m (10)" pbc="T T T"
Ca -5.4316 0.6962 -6.3753
Ca -5.4430 1.8490 -2.6445
Ca -8.0593 -0.7975 -1.8415
Ca -0.0616 0.8395 -6.3963
Ca -2.6780 -1.8070 -5.5934
Ca -2.6893 -0.6542 -1.8625
In 0.0000 0.0000 0.0000
Cd -2.7498 1.3394 -4.5223
Cd -5.4114 -0.1428 0.0276
Cd 0.0114 -1.1565 -3.7427
Cd -2.7095 0.1848 -8.2655
Cd -5.3711 -1.2974 -3.7155

=====

(19)
5
Lattice="-2.0930 4.3149 -2.5745 -3.4479 -3.2621 -2.6642 -3.6549 0.6064 3.9876" Properties=species:S:1:pos:R:3 comment="LaCoP3 GGA-PBE relaxed" formation_enthalpy_0k_mev_per_atom=1491 spacegroup="Pm-3m (221)" pbc="T T T"
La 0.0000 0.0000 0.0000
Co -4.5979 0.8296 -0.6256
P -1.7240 -1.6310 -1.3321
P -1.8275 0.3032 1.9938
P -1.0465 2.1575 -1.2873

=====

(20)
12
Lattice="0.6704 -2.3493 6.8567 4.7422 -3.7533 -1.7554 7.9199 2.8254 7.8952" Properties=species:S:1:pos:R:3 comment="CaSm7Ho4 GGA-PBE relaxed" formation_enthalpy_0k_mev_per_atom=25 spacegroup="P-1 (2)" pbc="T T T"
Ca 0.0000 0.0000 0.0000
Sm 2.8807 -3.6212 4.2066
Sm 10.4517 0.3441 8.7898
Sm 6.6387 0.6104 5.3045
Sm 6.6938 -3.8875 7.6920
Sm 9.1240 -1.8459 6.1827
Sm 0.3352 -1.1747 3.4283
Sm 4.2084 -1.4312 6.8138
Ho 6.3501 -2.7002 4.1923
Ho 6.9823 -0.5769 8.8042
Ho 9.5424 -3.0005 9.6085
Ho 3.7900 -0.2766 3.3879